[1]
A plane-wave DFT calculation with PBE was carried out for a geometry-optimized Sc5AgPd4 structure.

```
Sc5AgPd4
1.0
3.3029 0.0000 0.0000
0.0000 3.3029 0.0000
0.0000 0.0000 16.9984
Sc Pd Ag
5 4 1
Direct
0.5000 0.5000 0.3030 Sc
0.5000 0.5000 0.1063 Sc
0.5000 0.5000 0.6970 Sc
0.5000 0.5000 0.5000 Sc
0.5000 0.5000 0.8937 Sc
0.0000 0.0000 0.7957 Pd
0.0000 0.0000 0.2043 Pd
0.0000 0.0000 0.4014 Pd
0.0000 0.0000 0.5986 Pd
0.0000 0.0000 0.0000 Ag
```

Values from the calculation:
The value obtained for the calculated formation energy is -0.77 eV per atom.

[2]
A plane-wave DFT calculation with PBE was carried out for a geometry-optimized YInAs2 structure.

```
YInAs2
1.0
6.4517 0.0000 0.0000
0.0000 6.4517 0.0000
3.2259 3.2259 6.1287
In Y As
2 2 4
Direct
0.0000 0.0000 0.0000 In
0.7500 0.2500 0.5000 In
0.5000 0.5000 0.0000 Y
0.2500 0.7500 0.5000 Y
0.3750 0.3589 0.7500 As
0.8750 0.8911 0.7500 As
0.6411 0.1250 0.2500 As
0.1089 0.6250 0.2500 As
```

Values from the calculation:
The value obtained for the calculated formation energy is -0.57 eV per atom.

[3]
A plane-wave DFT calculation with PBE was carried out for a geometry-optimized TbSmHoTl structure.

```
TbSmHoTl
1.0
4.9086 0.0000 0.0000
0.0000 4.8512 0.0000
0.0000 0.0000 4.8858
Tb Tl Ho Sm
1 1 1 1
Direct
0.5000 0.5000 0.0000 Tb
0.0000 0.0000 0.0000 Tl
0.0000 0.5000 0.5000 Ho
0.5000 0.0000 0.5000 Sm
```

Values from the calculation:
The value obtained for the calculated formation energy is -0.18 eV per atom. The value obtained for the energy above the most stable polymorph in this dataset is 0.00 eV per formula unit.

[4]
A plane-wave DFT calculation with PBE was carried out for a geometry-optimized Co5Sn3H12 structure.

```
Co5Sn3H12
1.0
-2.7168 -7.7383 -4.9372
8.4658 3.0555 -3.2606
0.7729 -2.2413 9.2745
Co H Sn
20 48 12
Direct
0.3750 0.1250 0.7500 Co
0.6250 0.7500 0.8750 Co
0.8750 0.6250 0.7500 Co
0.0000 0.0000 0.5000 Co
0.5000 0.0000 0.0000 Co
0.7500 0.6250 0.3750 Co
0.1250 0.7500 0.3750 Co
0.5000 0.5000 0.0000 Co
0.3750 0.2500 0.1250 Co
0.5000 0.0000 0.5000 Co
0.0000 0.0000 0.0000 Co
0.5000 0.5000 0.5000 Co
0.0000 0.5000 0.0000 Co
0.1250 0.3750 0.2500 Co
0.7500 0.1250 0.8750 Co
0.6250 0.8750 0.2500 Co
0.2500 0.8750 0.1250 Co
0.0000 0.5000 0.5000 Co
0.2500 0.3750 0.6250 Co
0.8750 0.2500 0.6250 Co
0.0217 0.5783 0.1918 H
0.5783 0.5566 0.3865 H
0.8082 0.9217 0.9783 H
0.4783 0.1702 0.0566 H
0.1135 0.9217 0.4434 H
0.5566 0.5783 0.8865 H
0.1918 0.1135 0.6702 H
0.6135 0.6702 0.6918 H
0.4434 0.4217 0.1135 H
0.6135 0.9434 0.4217 H
0.9783 0.5566 0.6702 H
0.3082 0.8298 0.3865 H
0.0566 0.6702 0.4783 H
0.8865 0.8082 0.8298 H
0.3865 0.0566 0.5783 H
0.3298 0.3865 0.8082 H
0.4217 0.4434 0.6135 H
0.8298 0.3082 0.8865 H
0.5217 0.6918 0.0783 H
0.1702 0.4783 0.5566 H
0.6918 0.1702 0.6135 H
0.4783 0.3082 0.9217 H
0.1918 0.0783 0.0217 H
0.3865 0.3298 0.3082 H
0.9783 0.4217 0.8082 H
0.0217 0.4434 0.3298 H
0.6702 0.6135 0.1918 H
0.6918 0.5217 0.5783 H
0.9434 0.3298 0.5217 H
0.3082 0.4783 0.4217 H
0.0783 0.1918 0.5217 H
0.8865 0.0783 0.5566 H
0.4217 0.9783 0.3082 H
0.0566 0.3865 0.0783 H
0.3298 0.9434 0.0217 H
0.8082 0.8865 0.3298 H
0.6702 0.0566 0.9783 H
0.9217 0.8082 0.4783 H
0.5783 0.0217 0.6918 H
0.8298 0.5217 0.4434 H
0.0783 0.8865 0.0566 H
0.1702 0.6918 0.1135 H
0.1135 0.1918 0.1702 H
0.5566 0.9783 0.1702 H
0.5217 0.8298 0.9434 H
0.4434 0.0217 0.8298 H
0.9217 0.1135 0.9434 H
0.9434 0.6135 0.9217 H
0.6250 0.3750 0.7500 Sn
0.2500 0.6250 0.8750 Sn
0.1250 0.8750 0.7500 Sn
0.3750 0.7500 0.6250 Sn
0.3750 0.6250 0.2500 Sn
0.6250 0.2500 0.3750 Sn
0.8750 0.7500 0.1250 Sn
0.8750 0.1250 0.2500 Sn
0.1250 0.2500 0.8750 Sn
0.2500 0.1250 0.3750 Sn
0.7500 0.3750 0.1250 Sn
0.7500 0.8750 0.6250 Sn
```

Values from the calculation:
The calculation puts the uncorrected energy at -4.109 eV per atom.

[5]
A plane-wave DFT calculation with PBE was carried out for a geometry-optimized Ba2PaAlS6 structure.

```
Ba2PaAlS6
1.0
-3.6610 4.0561 -4.5031
-5.5724 -0.1822 4.3662
3.3736 8.2050 4.6479
S Pa Ba Al
12 2 4 2
Direct
0.2601 0.0096 0.5000 S
0.5000 0.2498 0.2599 S
0.7599 0.5103 0.0000 S
0.7399 0.0096 0.5000 S
0.2399 0.9904 0.0000 S
0.5000 0.2498 0.7401 S
0.2401 0.5103 0.0000 S
0.7401 0.4897 0.5000 S
0.0000 0.7502 0.2401 S
0.0000 0.7502 0.7599 S
0.2599 0.4897 0.5000 S
0.7601 0.9904 0.0000 S
0.5000 0.2503 0.0000 Pa
0.0000 0.7497 0.5000 Pa
0.0000 0.2497 0.7500 Ba
0.0000 0.2497 0.2500 Ba
0.5000 0.7503 0.7500 Ba
0.5000 0.7503 0.2500 Ba
0.5000 0.2498 0.5000 Al
0.0000 0.7502 0.0000 Al
```

Values from the calculation:
For the uncorrected formation energy, the calculation gives -1.69 eV per atom.

[6]
A plane-wave DFT calculation with PBE was carried out for a geometry-optimized KGa2ReSi structure.

```
KGa2ReSi
1.0
-3.7667 0.9676 3.0729
-3.0732 -2.4979 -2.9805
0.9184 -3.9616 2.3732
Ga Si Re K
2 1 1 1
Direct
0.5000 0.0000 0.0000 Ga
0.0000 0.5000 0.0000 Ga
0.0000 0.0000 0.5000 Si
0.0000 0.0000 0.0000 Re
0.5000 0.5000 0.5000 K
```

Values from the calculation:
For the uncorrected formation energy, the calculation gives -0.10 eV per atom.

[7]
A plane-wave DFT calculation with PBE was carried out for a geometry-optimized YPaAl2 structure.

```
YPaAl2
1.0
3.2566 0.0000 0.0000
0.0000 3.2566 0.0000
0.0000 0.0000 8.4996
Al Y Pa
2 1 1
Direct
0.0000 0.0000 0.7510 Al
0.0000 0.0000 0.2490 Al
0.5000 0.5000 0.5000 Y
0.5000 0.5000 0.0000 Pa
```

Values from the calculation:
The value obtained for the calculated formation energy is -0.25 eV per atom. The value obtained for the energy above the most stable polymorph in this dataset is 0.00 eV per formula unit.

[8]
A plane-wave DFT calculation with PBE was carried out for a geometry-optimized La2YScTl structure.

```
La2YScTl
1.0
5.5552 0.0000 0.0000
0.0000 5.6061 0.0000
0.0000 0.0000 5.5552
La Sc Y Tl
2 1 1 1
Direct
0.0000 0.0000 0.5000 La
0.5000 0.0000 0.0000 La
0.0000 0.0000 0.0000 Sc
0.5000 0.5000 0.5000 Y
0.0000 0.5000 0.0000 Tl
```

Values from the calculation:
The value obtained for the calculated formation energy is 0.46 eV per atom. The value obtained for the energy above the most stable polymorph in this dataset is 0.15 eV per formula unit.

[9]
A plane-wave DFT calculation with PBE was carried out for a geometry-optimized LaCu3O structure.

```
LaCu3O
1.0
-4.2124 3.1259 -0.7347
-0.9376 -0.0382 5.2130
3.0712 4.2758 0.5837
Cu La O
3 1 1
Direct
0.0000 0.5000 0.0000 Cu
0.0000 0.0000 0.5000 Cu
0.5000 0.0000 0.0000 Cu
0.0000 0.0000 0.0000 La
0.5000 0.5000 0.5000 O
```

Values from the calculation:
The value obtained for the energy above the most stable polymorph in this dataset is 8.43 eV per formula unit. For the uncorrected formation energy, the calculation gives 1.71 eV per atom.

[10]
A plane-wave DFT calculation with PBE was carried out for a geometry-optimized Pr4CdPt2 structure.

```
Pr4CdPt2
1.0
7.1926 -0.5480 -0.1236
-1.0656 7.1332 0.1230
-2.9370 -3.4096 7.8875
Pt Pr Cd
4 8 2
Direct
0.1294 0.5374 0.9295 Pt
0.4499 0.3579 0.5705 Pt
0.7873 0.8796 0.4296 Pt
0.6076 0.2000 0.0704 Pt
0.4073 0.4802 0.2288 Pr
0.4719 0.7421 0.8606 Pr
0.2510 0.1783 0.7709 Pr
0.4285 0.0014 0.2713 Pr
0.8614 0.6315 0.6395 Pr
0.9920 0.2217 0.3601 Pr
0.8818 0.6115 0.1398 Pr
0.7301 0.1574 0.7291 Pr
0.0009 0.0005 0.9999 Cd
0.2508 0.7504 0.5001 Cd
```

Values from the calculation:
The value obtained for the calculated formation energy is -0.70 eV per atom.

[11]
A plane-wave DFT calculation with PBE was carried out for a geometry-optimized TbPr2Pa2Rh5 structure.

```
TbPr2Pa2Rh5
1.0
-2.7457 -2.3280 0.3307
6.9675 -8.4319 -1.5084
1.7428 -0.5082 10.8914
Pa Pr Rh Tb
4 4 10 2
Direct
0.0000 0.8638 0.3638 Pa
0.0000 0.3638 0.1362 Pa
0.0000 0.6362 0.8638 Pa
0.0000 0.1362 0.6362 Pa
0.0000 0.3281 0.8281 Pr
0.0000 0.6719 0.1719 Pr
0.0000 0.8281 0.6719 Pr
0.0000 0.1719 0.3281 Pr
0.5000 0.5000 0.0000 Rh
0.5000 0.9462 0.2038 Rh
0.5000 0.4462 0.2962 Rh
0.5000 0.2038 0.0538 Rh
0.5000 0.0000 0.5000 Rh
0.5000 0.7962 0.9462 Rh
0.5000 0.0538 0.7962 Rh
0.5000 0.2962 0.5538 Rh
0.5000 0.5538 0.7038 Rh
0.5000 0.7038 0.4462 Rh
0.0000 0.5000 0.5000 Tb
0.0000 0.0000 0.0000 Tb
```

Values from the calculation:
The value obtained for the calculated formation energy is -0.64 eV per atom.

[12]
A plane-wave DFT calculation with PBE was carried out for a geometry-optimized HfCdSn structure.

```
HfCdSn
1.0
-1.5699 -1.2262 2.3277
-2.6264 -2.7647 -3.2278
4.2511 -1.7781 1.9304
Sn Cd Hf
1 1 1
Direct
0.5000 0.6667 0.3333 Sn
0.4998 0.3333 0.6667 Cd
0.0002 0.0000 0.0000 Hf
```

Values from the calculation:
The value obtained for the calculated formation energy is 0.03 eV per atom. The value obtained for the energy above the most stable polymorph in this dataset is 0.28 eV per formula unit.